VASP calculation (PBE-GGA) on an optimized crystal structure of Sr2LaCl.

a b c (Å): 7.2206 7.2206 7.1630
angles (deg): 60.23 60.23 30.70
Closest atoms and distances in Å follow each position.
Fractional coordinates of all 4 atoms:
1 Cl 0.7500 0.7500 0.7500  4 Sr 3.05
2 La 0.2500 0.2500 0.2500  2 La 3.82, 4 Cl 4.06, 4 Sr 4.06
3 Sr 0.0505 0.0505 0.9493  2 Cl 3.05
4 Sr 0.4495 0.4495 0.5507  2 Cl 3.05

raw total energy = -12.31 eV for the cell shown
calculated volume = 40.9 Å³/atom
energy above the lowest structure with this stoichiometry = 0.256 eV per atom
size of the total moment = 0.42 μB per formula unit
symmetry = No. 71
Fermi-level density of states = 5.78 states/eV/cell